{"formula": "In3Fe5O12", "functional": "GGA+U", "state": "optimized geometry", "lattice": [[-8.447, -5.028, -4.044], [8.892, -4.818, -3.271], [-0.470, -0.258, 10.616]], "species": ["In", "In", "In", "In", "In", "In", "In", "In", "In", "In", "In", "In", "Fe", "Fe", "Fe", "Fe", "Fe", "Fe", "Fe", "Fe", "Fe", "Fe", "Fe", "Fe", "Fe", "Fe", "Fe", "Fe", "Fe", "Fe", "Fe", "Fe", "O", "O", "O", "O", "O", "O", "O", "O", "O", "O", "O", "O", "O", "O", "O", "O", "O", "O", "O", "O", "O", "O", "O", "O", "O", "O", "O", "O", "O", "O", "O", "O", "O", "O", "O", "O", "O", "O", "O", "O", "O", "O", "O", "O", "O", "O", "O", "O"], "frac_coords": [[0.750, 0.375, 0.125], [0.875, 0.750, 0.125], [0.375, 0.750, 0.625], [0.250, 0.125, 0.375], [0.875, 0.125, 0.250], [0.375, 0.625, 0.250], [0.625, 0.375, 0.750], [0.125, 0.875, 0.750], [0.750, 0.875, 0.625], [0.625, 0.250, 0.375], [0.125, 0.250, 0.875], [0.250, 0.625, 0.875], [0.125, 0.375, 0.250], [0.000, 0.500, 0.000], [0.000, 0.000, 0.000], [0.375, 0.250, 0.125], [0.500, 0.000, 0.500], [0.500, 0.500, 0.000], [0.125, 0.750, 0.375], [0.750, 0.125, 0.875], [0.750, 0.625, 0.375], [0.375, 0.125, 0.750], [0.625, 0.875, 0.250], [0.500, 0.500, 0.500], [0.500, 0.000, 0.000], [0.000, 0.000, 0.500], [0.250, 0.375, 0.625], [0.250, 0.875, 0.125], [0.000, 0.500, 0.500], [0.875, 0.250, 0.625], [0.625, 0.750, 0.875], [0.875, 0.625, 0.750], [0.705, 0.124, 0.032], [0.327, 0.532, 0.408], [0.968, 0.376, 0.295], [0.532, 0.205, 0.124], [0.581, 0.705, 0.673], [0.968, 0.592, 0.173], [0.327, 0.795, 0.419], [0.092, 0.919, 0.124], [0.592, 0.968, 0.673], [0.705, 0.581, 0.173], [0.795, 0.468, 0.376], [0.827, 0.908, 0.032], [0.124, 0.705, 0.532], [0.376, 0.408, 0.081], [0.081, 0.908, 0.376], [0.419, 0.124, 0.592], [0.081, 0.173, 0.205], [0.468, 0.673, 0.092], [0.827, 0.919, 0.295], [0.124, 0.419, 0.092], [0.376, 0.968, 0.795], [0.592, 0.624, 0.419], [0.908, 0.827, 0.532], [0.795, 0.327, 0.919], [0.408, 0.376, 0.581], [0.092, 0.173, 0.468], [0.205, 0.673, 0.081], [0.173, 0.081, 0.705], [0.624, 0.032, 0.205], [0.876, 0.581, 0.908], [0.532, 0.327, 0.908], [0.581, 0.876, 0.408], [0.919, 0.827, 0.795], [0.919, 0.092, 0.624], [0.876, 0.295, 0.468], [0.173, 0.092, 0.968], [0.624, 0.592, 0.919], [0.408, 0.032, 0.327], [0.295, 0.419, 0.827], [0.205, 0.532, 0.624], [0.908, 0.081, 0.876], [0.673, 0.205, 0.581], [0.468, 0.795, 0.876], [0.032, 0.408, 0.827], [0.419, 0.295, 0.327], [0.032, 0.624, 0.705], [0.673, 0.468, 0.592], [0.295, 0.876, 0.968]], "magmom_total_mub_per_fu": 17.00, "sg": "Ia-3d, No. 230", "e_tot_ev_per_cell": -476.59}